# 1
Material: BaAc2Lu
Method: DFT, GGA-PBE
State: relaxed

The structure belongs to space group P4/mmm (No. 123); the cell edges are 5.563, 5.563 and 5.507 Å and the angles 90.00°, 90.00° and 90.00°. The distinct sites, in fractional coordinates, are Ba at (0.000, 0.000, 0.000), Ac at (0.000, 0.500, 0.500) and Lu at (0.500, 0.500, 0.000).

The energy of formation from the pure elements is 67 kJ/mol of formula units. As for the energy above the lowest structure with this stoichiometry: 0.093 eV/atom. The total energy is -3.491 eV per atom. The calculation puts the density at 7.5 Mg/m³.

# 2
Material: BaAc2Lu
Method: DFT, GGA-PBE
State: relaxed

The structure belongs to space group P4/mmm (No. 123); the cell edges are 4.176, 4.176 and 10.262 Å and the angles 90.00°, 90.00° and 90.00°. The distinct sites, in fractional coordinates, are Ba at (0.000, 0.000, 0.000), Ac at (0.500, 0.500, 0.297) and Lu at (0.000, 0.000, 0.500).

The energy of formation from the pure elements is 31 kJ/mol of formula units. As for the energy above the lowest structure with this stoichiometry: 0.000 eV/atom. The total energy is -3.584 eV per atom. The calculation puts the density at 7.1 Mg/m³.

# 3
Material: BaAcLuMg
Method: DFT, GGA-PBE
State: relaxed

The structure belongs to space group F-43m (No. 216); the cell edges are 8.464, 8.464 and 8.464 Å and the angles 90.00°, 90.00° and 90.00°. The distinct sites, in fractional coordinates, are Ba at (0.000, 0.000, 0.000), Ac at (0.000, 0.000, 0.500), Lu at (0.250, 0.250, 0.250) and Mg at (0.250, 0.250, 0.750).

The energy of formation from the pure elements is 50 kJ/mol of formula units. The total energy is -2.906 eV per atom. The calculation puts the density at 6.2 Mg/m³.

# 4
Material: BaAc2Mg6
Method: DFT, GGA-PBE
State: relaxed

The structure belongs to space group P6/mmm (No. 191); the cell edges are 9.5378, 9.5378 and 3.7074 Å and the angles 90.00°, 90.00° and 120.00°. The distinct sites, in fractional coordinates, are Ba at (0.0000, 0.0000, 0.0000), Ac at (0.3333, 0.6667, 0.0000) and Mg at (0.0000, 0.3388, 0.5000).

The energy of formation from the pure elements is -44 kJ/mol of formula units. The total energy is -2.240 eV per atom. The calculation puts the density at 4.2 Mg/m³.

# 5
Material: Ba3AcMg4
Method: DFT, GGA-PBE
State: relaxed

The structure belongs to space group P4/mmm (No. 123); the cell edges are 4.271, 4.271 and 17.408 Å and the angles 90.00°, 90.00° and 90.00°. The distinct sites, in fractional coordinates, are Ba at (0.000, 0.000, 0.000), Ba at (0.000, 0.000, 0.259), Ac at (0.000, 0.000, 0.500), Mg at (0.500, 0.500, 0.129) and Mg at (0.500, 0.500, 0.390).

The energy of formation from the pure elements is -46 kJ/mol of formula units. The total energy is -2.092 eV per atom. The calculation puts the density at 3.8 Mg/m³.

# 6
Material: Ba2AcMg
Method: DFT, GGA-PBE
State: relaxed

The structure belongs to space group P4/mmm (No. 123); the cell edges are 4.166, 4.166 and 10.773 Å and the angles 90.00°, 90.00° and 90.00°. The distinct sites, in fractional coordinates, are Ba at (0.000, 0.000, 0.214), Ac at (0.500, 0.500, 0.500) and Mg at (0.500, 0.500, 0.000).

The energy of formation from the pure elements is 22 kJ/mol of formula units. As for the energy above the lowest structure with this stoichiometry: 0.000 eV/atom. The total energy is -2.330 eV per atom. The calculation puts the density at 4.7 Mg/m³.

# 7
Material: Ba2AcMg
Method: DFT, GGA-PBE
State: relaxed

The structure belongs to space group R-3m (No. 166, hexagonal axes); the cell edges are 3.9991, 3.9991 and 41.3110 Å and the angles 90.00°, 90.00° and 120.00°. The distinct sites, in fractional coordinates, are Ba at (0.0000, 0.0000, 0.0956), Ac at (0.0000, 0.0000, 0.0000) and Mg at (0.0000, 0.0000, 0.5000).

The energy of formation from the pure elements is 97 kJ/mol of formula units. As for the energy above the lowest structure with this stoichiometry: 0.195 eV/atom. The total energy is -2.135 eV per atom. The calculation puts the density at 4.6 Mg/m³.

# 8
Material: BaAc2Mg9
Method: DFT, GGA-PBE
State: relaxed

The structure belongs to space group R-3m (No. 166, hexagonal axes); the cell edges are 6.3613, 6.3613 and 30.8080 Å and the angles 90.00°, 90.00° and 120.00°. The distinct sites, in fractional coordinates, are Ba at (0.0000, 0.0000, 0.0000), Ac at (0.0000, 0.0000, 0.1467), Mg at (0.0000, 0.0000, 0.3341), Mg at (0.0000, 0.0000, 0.5000) and Mg at (0.0017, 0.5008, 0.9169).

The energy of formation from the pure elements is -96 kJ/mol of formula units. The total energy is -2.124 eV per atom. The calculation puts the density at 3.7 Mg/m³.

# 9
Material: BaAc3Mg4
Method: DFT, GGA-PBE
State: relaxed

The structure belongs to space group P4/mmm (No. 123); the cell edges are 5.885, 5.885 and 8.361 Å and the angles 90.00°, 90.00° and 90.00°. The distinct sites, in fractional coordinates, are Ba at (0.000, 0.000, 0.000), Ac at (0.000, 0.000, 0.500), Ac at (0.500, 0.500, 0.000), Ac at (0.500, 0.500, 0.500) and Mg at (0.000, 0.500, 0.259).

The energy of formation from the pure elements is -45 kJ/mol of formula units. The total energy is -2.637 eV per atom. The calculation puts the density at 5.2 Mg/m³.

# 10
Material: BaAcMg4
Method: DFT, GGA-PBE
State: relaxed

The structure belongs to space group F-43m (No. 216); the cell edges are 9.171, 9.171 and 9.171 Å and the angles 90.00°, 90.00° and 90.00°. The distinct sites, in fractional coordinates, are Ba at (0.000, 0.000, 0.000), Ac at (0.250, 0.250, 0.250) and Mg at (0.124, 0.124, 0.624).

The energy of formation from the pure elements is -43 kJ/mol of formula units. The total energy is -2.143 eV per atom. The calculation puts the density at 4.0 Mg/m³.

# 11
Material: Ba2AcMg
Method: DFT, GGA-PBE
State: relaxed

The structure belongs to space group Cm (No. 8); the cell edges are 7.210, 4.164 and 12.937 Å and the angles 90.00°, 100.67° and 90.00°. The distinct sites, in fractional coordinates, are Ba at (0.000, 0.000, 0.000), Ba at (0.180, 0.000, 0.540), Ac at (0.424, 0.000, 0.270) and Mg at (0.091, 0.500, 0.770).

The energy of formation from the pure elements is 48 kJ/mol of formula units. As for the energy above the lowest structure with this stoichiometry: 0.068 eV/atom. The total energy is -2.262 eV per atom. The calculation puts the density at 4.6 Mg/m³.

# 12
Material: Ba2Ac3Mg2
Method: DFT, GGA-PBE
State: relaxed

The structure belongs to space group Cmmm (No. 65); the cell edges are 4.164, 36.130 and 4.107 Å and the angles 90.00°, 90.00° and 90.00°. The distinct sites, in fractional coordinates, are Ba at (0.000, 0.195, 0.000), Ac at (0.000, 0.075, 0.000), Ac at (0.000, 0.500, 0.500) and Mg at (0.000, 0.369, 0.500).

The energy of formation from the pure elements is -2 kJ/mol of formula units. The total energy is -2.769 eV per atom. The calculation puts the density at 5.4 Mg/m³.

# 13
Material: BaAc5Mg4
Method: DFT, GGA-PBE
State: relaxed

The structure belongs to space group P4/mmm (No. 123); the cell edges are 4.136, 4.136 and 22.528 Å and the angles 90.00°, 90.00° and 90.00°. The distinct sites, in fractional coordinates, are Ba at (0.000, 0.000, 0.000), Ac at (0.500, 0.500, 0.139), Ac at (0.500, 0.500, 0.318), Ac at (0.500, 0.500, 0.500), Mg at (0.000, 0.000, 0.228) and Mg at (0.000, 0.000, 0.409).

The energy of formation from the pure elements is -41 kJ/mol of formula units. The total energy is -2.927 eV per atom. The calculation puts the density at 5.9 Mg/m³.